# 1
Zn2Pb | PBE | optimized geometry

Cell lengths 4.1297, 15.6041, 4.0996 Å; angles 90.00, 90.00, 90.00 degrees
Closest atoms and distances in Å follow each position.
Space group Cmcm (No. 63)
Asymmetric unit:
Zn1 0.0000 0.0566 0.2500  2 Zn 2.71, 4 Pb 3.02
Zn2 0.0000 0.2499 0.7500  4 Zn 2.91, 4 Pb 3.01-3.02
Pb1 0.0000 0.3911 0.2500  10 Zn 3.01-3.31

Values from the calculation:
Total magnetic moment, μB per formula unit: 0.00
ΔH_f (0 K), eV per formula unit: 0.6



# 2
SrCd6Pt6 | PBE | optimized geometry

Cell lengths 5.6157, 9.3596, 9.7193 Å; angles 90.00, 90.00, 90.00 degrees
Closest atoms and distances in Å follow each position.
Space group Immm (No. 71)
Asymmetric unit:
Sr1 0.0000 0.0000 0.0000  8 Cd 3.20-3.37, 4 Pt 3.57
Cd1 0.0000 0.0000 0.3471  6 Pt 2.89, 3 Cd 2.97-3.20
Cd2 0.0000 0.3420 0.0000  6 Pt 2.94-2.98, 1 Cd 2.96, 1 Sr 3.20
Cd3 0.0000 0.5000 0.3116  6 Pt 2.79-2.86
Pt1 0.0000 0.2651 0.5000  4 Pt 2.81, 6 Cd 2.86-2.98
Pt2 0.2500 0.2500 0.2500  6 Cd 2.79-2.94, 4 Pt 2.81

Values from the calculation:
Total magnetic moment, μB per formula unit: 0.00
ΔH_f (0 K), eV per formula unit: -5.7



# 3
LaCrAs3 | PBE | optimized geometry

Cell lengths 5.5690, 5.5690, 5.5690 Å; angles 90.00, 90.00, 90.00 degrees
Closest atoms and distances in Å follow each position.
Space group Pm-3m (No. 221)
Asymmetric unit:
La1 0.0000 0.0000 0.0000  6 As 2.78
Cr1 0.5000 0.5000 0.5000  12 As 3.94
As1 0.0000 0.0000 0.5000  2 La 2.78

Values from the calculation:
Total magnetic moment, μB per formula unit: 0.91
ΔH_f (0 K), eV per formula unit: 7.4



# 4
Cs2InAs2O6 | PBE | optimized geometry

Cell lengths 6.0776, 6.0776, 19.7278 Å; angles 90.00, 90.00, 120.00 degrees
Closest atoms and distances in Å follow each position.
Space group R-3m (No. 166, hexagonal axes)
Asymmetric unit:
Cs1 0.0000 0.0000 0.2212  6 O 3.18, 3 As 3.53
In1 0.0000 0.0000 0.0000  6 O 2.23
As1 0.0000 0.0000 0.4250  3 O 1.77
O1 0.0123 0.5061 0.2679  1 As 1.77

Values from the calculation:
Total magnetic moment, μB per formula unit: 0.00
Formation energy from raw total energies, eV/atom: -1.39